VASP calculation (GGA-PBE) on a relaxed structure of Pr2NdTa2N6.

abc: 10.294 10.294 10.294
angles: 157.29 157.29 32.33
Fractional coordinates of all 11 atoms:
Pr  0.180  0.180  0.000
Pr  0.820  0.820  0.000
Nd  0.000  0.000  0.000
Ta  0.400  0.400  0.000
Ta  0.600  0.600  0.000
N  0.084  0.584  0.500
N  0.301  0.301  0.000
N  0.416  0.916  0.500
N  0.584  0.084  0.500
N  0.699  0.699  0.000
N  0.916  0.416  0.500

The total energy is -102.733 eV per cell.

---

VASP calculation (GGA-PBE) on a relaxed structure of NdPu2N3.

abc: 3.514 3.514 8.615
angles: 90.00 90.00 120.00
Fractional coordinates of all 6 atoms:
Nd  0.000  0.000  0.000
Pu  0.333  0.667  0.336
Pu  0.667  0.333  0.664
N  0.000  0.000  0.500
N  0.333  0.667  0.813
N  0.667  0.333  0.187

The total energy is -66.206 eV per cell.

---

VASP calculation (GGA-PBE) on a relaxed structure of NdReN3.

abc: 7.978 7.978 3.827
angles: 90.00 90.00 136.91
Fractional coordinates of all 10 atoms:
Nd  0.195  0.805  0.750
Nd  0.805  0.195  0.250
Re  0.412  0.588  0.750
Re  0.588  0.412  0.250
N  0.090  0.426  0.750
N  0.426  0.090  0.250
N  0.449  0.551  0.250
N  0.551  0.449  0.750
N  0.574  0.910  0.750
N  0.910  0.574  0.250

The total energy is -89.879 eV per cell.

---

VASP calculation (GGA-PBE) on a relaxed structure of Nd3Re5N12.

abc: 11.159 11.159 11.159
angles: 109.47 109.47 109.47
Fractional coordinates of all 80 atoms:
Nd  0.125  0.250  0.375
Nd  0.125  0.375  0.750
Nd  0.250  0.375  0.125
Nd  0.250  0.875  0.625
Nd  0.375  0.125  0.250
Nd  0.375  0.750  0.125
Nd  0.625  0.250  0.875
Nd  0.625  0.875  0.750
Nd  0.750  0.125  0.375
Nd  0.750  0.625  0.875
Nd  0.875  0.625  0.250
Nd  0.875  0.750  0.625
Re  0.000  0.000  0.000
Re  0.000  0.000  0.500
Re  0.000  0.500  0.000
Re  0.000  0.500  0.500
Re  0.125  0.750  0.875
Re  0.125  0.875  0.250
Re  0.250  0.125  0.875
Re  0.250  0.625  0.375
Re  0.375  0.250  0.625
Re  0.375  0.625  0.750
Re  0.500  0.000  0.000
Re  0.500  0.000  0.500
Re  0.500  0.500  0.000
Re  0.500  0.500  0.500
Re  0.625  0.375  0.250
Re  0.625  0.750  0.375
Re  0.750  0.375  0.625
Re  0.750  0.875  0.125
Re  0.875  0.125  0.750
Re  0.875  0.250  0.125
N  0.011  0.193  0.113
N  0.011  0.318  0.898
N  0.080  0.693  0.682
N  0.080  0.887  0.398
N  0.102  0.613  0.420
N  0.102  0.989  0.682
N  0.113  0.011  0.193
N  0.113  0.602  0.920
N  0.182  0.193  0.580
N  0.182  0.489  0.602
N  0.193  0.113  0.011
N  0.193  0.580  0.182
N  0.307  0.318  0.920
N  0.307  0.489  0.387
N  0.318  0.898  0.011
N  0.318  0.920  0.307
N  0.387  0.307  0.489
N  0.387  0.580  0.898
N  0.398  0.080  0.887
N  0.398  0.818  0.511
N  0.420  0.102  0.613
N  0.420  0.818  0.807
N  0.489  0.387  0.307
N  0.489  0.602  0.182
N  0.511  0.398  0.818
N  0.511  0.613  0.693
N  0.580  0.182  0.193
N  0.580  0.898  0.387
N  0.602  0.182  0.489
N  0.602  0.920  0.113
N  0.613  0.420  0.102
N  0.613  0.693  0.511
N  0.682  0.080  0.693
N  0.682  0.102  0.989
N  0.693  0.511  0.613
N  0.693  0.682  0.080
N  0.807  0.420  0.818
N  0.807  0.887  0.989
N  0.818  0.511  0.398
N  0.818  0.807  0.420
N  0.887  0.398  0.080
N  0.887  0.989  0.807
N  0.898  0.011  0.318
N  0.898  0.387  0.580
N  0.920  0.113  0.602
N  0.920  0.307  0.318
N  0.989  0.682  0.102
N  0.989  0.807  0.887

The total energy is -743.849 eV per cell.

---

VASP calculation (GGA-PBE) on a relaxed structure of Nd3Re3W2N12.

abc: 11.180 11.180 11.180
angles: 109.47 109.47 109.47
Fractional coordinates of all 80 atoms:
Nd  0.125  0.250  0.375
Nd  0.125  0.375  0.750
Nd  0.250  0.375  0.125
Nd  0.250  0.875  0.625
Nd  0.375  0.125  0.250
Nd  0.375  0.750  0.125
Nd  0.625  0.250  0.875
Nd  0.625  0.875  0.750
Nd  0.750  0.125  0.375
Nd  0.750  0.625  0.875
Nd  0.875  0.625  0.250
Nd  0.875  0.750  0.625
Re  0.125  0.750  0.875
Re  0.125  0.875  0.250
Re  0.250  0.125  0.875
Re  0.250  0.625  0.375
Re  0.375  0.250  0.625
Re  0.375  0.625  0.750
Re  0.625  0.375  0.250
Re  0.625  0.750  0.375
Re  0.750  0.375  0.625
Re  0.750  0.875  0.125
Re  0.875  0.125  0.750
Re  0.875  0.250  0.125
W  0.000  0.000  0.000
W  0.000  0.000  0.500
W  0.000  0.500  0.000
W  0.000  0.500  0.500
W  0.500  0.000  0.000
W  0.500  0.000  0.500
W  0.500  0.500  0.000
W  0.500  0.500  0.500
N  0.012  0.194  0.113
N  0.012  0.317  0.899
N  0.081  0.694  0.683
N  0.081  0.887  0.399
N  0.101  0.613  0.419
N  0.101  0.988  0.683
N  0.113  0.012  0.194
N  0.113  0.601  0.919
N  0.183  0.194  0.581
N  0.183  0.488  0.601
N  0.194  0.113  0.012
N  0.194  0.581  0.183
N  0.306  0.317  0.919
N  0.306  0.488  0.387
N  0.317  0.899  0.012
N  0.317  0.919  0.306
N  0.387  0.306  0.488
N  0.387  0.581  0.899
N  0.399  0.081  0.887
N  0.399  0.817  0.512
N  0.419  0.101  0.613
N  0.419  0.817  0.806
N  0.488  0.387  0.306
N  0.488  0.601  0.183
N  0.512  0.399  0.817
N  0.512  0.613  0.694
N  0.581  0.183  0.194
N  0.581  0.899  0.387
N  0.601  0.183  0.488
N  0.601  0.919  0.113
N  0.613  0.419  0.101
N  0.613  0.694  0.512
N  0.683  0.081  0.694
N  0.683  0.101  0.988
N  0.694  0.512  0.613
N  0.694  0.683  0.081
N  0.806  0.419  0.817
N  0.806  0.887  0.988
N  0.817  0.512  0.399
N  0.817  0.806  0.419
N  0.887  0.399  0.081
N  0.887  0.988  0.806
N  0.899  0.012  0.317
N  0.899  0.387  0.581
N  0.919  0.113  0.601
N  0.919  0.306  0.317
N  0.988  0.683  0.101
N  0.988  0.806  0.887

The total energy is -756.406 eV per cell.

---

VASP calculation (GGA-PBE) on a relaxed structure of Nd3S2N.

abc: 3.859 3.859 9.950
angles: 90.00 90.00 120.00
Fractional coordinates of all 6 atoms:
Nd  0.000  0.000  0.000
Nd  0.333  0.667  0.363
Nd  0.667  0.333  0.637
S  0.333  0.667  0.822
S  0.667  0.333  0.178
N  0.000  0.000  0.500

The total energy is -41.673 eV per cell.

---

Please write out number 5 again, unchanged.
VASP calculation (GGA-PBE) on a relaxed structure of Nd3Re3W2N12.

abc: 11.180 11.180 11.180
angles: 109.47 109.47 109.47
Fractional coordinates of all 80 atoms:
Nd  0.125  0.250  0.375
Nd  0.125  0.375  0.750
Nd  0.250  0.375  0.125
Nd  0.250  0.875  0.625
Nd  0.375  0.125  0.250
Nd  0.375  0.750  0.125
Nd  0.625  0.250  0.875
Nd  0.625  0.875  0.750
Nd  0.750  0.125  0.375
Nd  0.750  0.625  0.875
Nd  0.875  0.625  0.250
Nd  0.875  0.750  0.625
Re  0.125  0.750  0.875
Re  0.125  0.875  0.250
Re  0.250  0.125  0.875
Re  0.250  0.625  0.375
Re  0.375  0.250  0.625
Re  0.375  0.625  0.750
Re  0.625  0.375  0.250
Re  0.625  0.750  0.375
Re  0.750  0.375  0.625
Re  0.750  0.875  0.125
Re  0.875  0.125  0.750
Re  0.875  0.250  0.125
W  0.000  0.000  0.000
W  0.000  0.000  0.500
W  0.000  0.500  0.000
W  0.000  0.500  0.500
W  0.500  0.000  0.000
W  0.500  0.000  0.500
W  0.500  0.500  0.000
W  0.500  0.500  0.500
N  0.012  0.194  0.113
N  0.012  0.317  0.899
N  0.081  0.694  0.683
N  0.081  0.887  0.399
N  0.101  0.613  0.419
N  0.101  0.988  0.683
N  0.113  0.012  0.194
N  0.113  0.601  0.919
N  0.183  0.194  0.581
N  0.183  0.488  0.601
N  0.194  0.113  0.012
N  0.194  0.581  0.183
N  0.306  0.317  0.919
N  0.306  0.488  0.387
N  0.317  0.899  0.012
N  0.317  0.919  0.306
N  0.387  0.306  0.488
N  0.387  0.581  0.899
N  0.399  0.081  0.887
N  0.399  0.817  0.512
N  0.419  0.101  0.613
N  0.419  0.817  0.806
N  0.488  0.387  0.306
N  0.488  0.601  0.183
N  0.512  0.399  0.817
N  0.512  0.613  0.694
N  0.581  0.183  0.194
N  0.581  0.899  0.387
N  0.601  0.183  0.488
N  0.601  0.919  0.113
N  0.613  0.419  0.101
N  0.613  0.694  0.512
N  0.683  0.081  0.694
N  0.683  0.101  0.988
N  0.694  0.512  0.613
N  0.694  0.683  0.081
N  0.806  0.419  0.817
N  0.806  0.887  0.988
N  0.817  0.512  0.399
N  0.817  0.806  0.419
N  0.887  0.399  0.081
N  0.887  0.988  0.806
N  0.899  0.012  0.317
N  0.899  0.387  0.581
N  0.919  0.113  0.601
N  0.919  0.306  0.317
N  0.988  0.683  0.101
N  0.988  0.806  0.887

The total energy is -756.406 eV per cell.